Version i
The following is a meta-GGA SCAN calculation of a PBEsol-optimized structure of Ca3AgS, from the Alexandria database.

abc: 5.296 5.296 5.296
angles: 90.00 90.00 90.00
Space group Pm-3m (No. 221)
One atom of each set of equivalent atoms:
Ca (0.000, 0.000, 0.500) [3 per cell]
Ag (0.500, 0.500, 0.500) [1 per cell]
S (0.000, 0.000, 0.000) [1 per cell]

As for the density of states at the Fermi level: 3.0 states/eV/cell.

Version ii
The following is a meta-GGA SCAN calculation of a PBEsol-optimized structure of Ca3AgS, from the Alexandria database.

abc: 5.500 5.500 5.500
angles: 90.00 90.00 90.00
Space group Pm-3m (No. 221)
One atom of each set of equivalent atoms:
Ca (0.000, 0.000, 0.500) [3 per cell]
Ag (0.000, 0.000, 0.000) [1 per cell]
S (0.500, 0.500, 0.500) [1 per cell]

As for the density of states at the Fermi level: 3.1 states/eV/cell.

Winner for stability: version i

Version i
The following is a meta-GGA SCAN calculation of a PBEsol-optimized structure of Ca2Si2Ag, from the Alexandria database.

abc: 4.724 4.724 11.353
angles: 90.00 90.00 90.00
Space group I4/mmm (No. 139)
One atom of each set of equivalent atoms:
Ca (0.000, 0.500, 0.250) [4 per cell]
Si (0.000, 0.000, 0.096) [4 per cell]
Ag (0.000, 0.000, 0.500) [2 per cell]

As for the density of states at the Fermi level: 6.0 states/eV/cell.

Version ii
The following is a meta-GGA SCAN calculation of a PBEsol-optimized structure of Ca2Si2Ag, from the Alexandria database.

abc: 6.813 6.813 4.539
angles: 90.00 90.00 90.00
Space group P4/mbm (No. 127)
One atom of each set of equivalent atoms:
Ca (0.170, 0.330, 0.000) [4 per cell]
Si (0.129, 0.629, 0.500) [4 per cell]
Ag (0.000, 0.000, 0.500) [2 per cell]

As for the density of states at the Fermi level: 4.7 states/eV/cell.

Winner for stability: version ii